No. 1
YMg2Zn | PBE | relaxed

Unit cell a=5.0009 b=5.0009 c=7.0205 alpha=90.00 beta=90.00 gamma=90.00
With the nearest neighbours (Å) after each atom.
Space group I-4m2 (No. 119)
One atom of each set of equivalent atoms:
Y: 0.0000 0.0000 0.0000 (multiplicity 2)  4 Mg 3.05, 4 Zn 3.05
Mg: 0.0000 0.0000 0.5000 (multiplicity 2)  4 Mg 3.05, 4 Zn 3.05
Mg: 0.0000 0.5000 0.2500 (multiplicity 2)  4 Mg 3.05, 4 Y 3.05
Zn: 0.0000 0.5000 0.7500 (multiplicity 2)  4 Mg 3.05, 4 Y 3.05

- calculated total energy (eV/f.u.) = -11.66
- formation energy from the elements (eV per atom) = -0.184
- crystal system = tetragonal

=====

No. 2
LiBeIr2C | PBE | relaxed

Unit cell a=4.0879 b=4.0879 c=3.7342 alpha=90.00 beta=90.00 gamma=90.00
With the nearest neighbours (Å) after each atom.
Space group P4/mmm (No. 123)
One atom of each set of equivalent atoms:
Li: 0.0000 0.0000 0.0000 (multiplicity 1)  2 Be 1.87
Be: 0.0000 0.0000 0.5000 (multiplicity 1)  2 Li 1.87, 4 Ir 2.04
Ir: 0.0000 0.5000 0.5000 (multiplicity 2)  2 Be 2.04
C: 0.5000 0.5000 0.0000 (multiplicity 1)  8 Ir 2.77, 4 Li 2.89

- calculated total energy (eV/f.u.) = -25.45
- formation energy from the elements (eV per atom) = 1.428
- crystal system = tetragonal

=====

No. 3
PmAuO | PBE | relaxed

Unit cell a=3.7759 b=3.7759 c=16.1393 alpha=90.00 beta=90.00 gamma=90.00
With the nearest neighbours (Å) after each atom.
Space group I4/mmm (No. 139)
One atom of each set of equivalent atoms:
Pm: 0.0000 0.0000 0.0904 (multiplicity 4)  4 O 2.39
Au: 0.0000 0.0000 0.2908 (multiplicity 4)  4 Au 2.98, 5 Pm 3.23-3.29
O: 0.0000 0.5000 0.0000 (multiplicity 4)  4 Pm 2.39, 4 O 2.67

- calculated total energy (eV/f.u.) = -18.21
- energy relative to the lowest polymorph listed for this composition (meV per atom) = 440
- crystal system = tetragonal
- formation energy without anion corrections (eV/atom) = -1.74

=====

No. 4
UMnSeS2 | PBE | relaxed

Unit cell a=7.1596 b=3.7808 c=8.3710 alpha=90.00 beta=111.30 gamma=90.00
With the nearest neighbours (Å) after each atom.
Space group P2_1/m (No. 11)
One atom of each set of equivalent atoms:
U: 0.2259 0.2500 0.2189 (multiplicity 2)  5 S 2.73-2.85, 2 Se 2.96
Mn: 0.1989 0.7500 0.6838 (multiplicity 2)  4 S 2.43-2.58, 2 Se 2.63
Se: 0.4343 0.2500 0.6466 (multiplicity 2)  2 Mn 2.63
S: 0.0616 0.7500 0.3641 (multiplicity 2)  3 Mn 2.49-2.58, 2 U 2.73
S: 0.1941 0.7500 0.9730 (multiplicity 2)  1 Mn 2.43

- calculated total energy (eV/f.u.) = -37.09
- crystal system = monoclinic
- formation energy without anion corrections (eV/atom) = -0.98

=====

No. 5
Na3Ho2SbSe6 | PBE | relaxed

Unit cell a=7.1882 b=12.4506 c=7.3976 alpha=90.00 beta=108.89 gamma=90.00
With the nearest neighbours (Å) after each atom.
Space group C2/m (No. 12)
One atom of each set of equivalent atoms:
Na: 0.0000 0.0000 0.0000 (multiplicity 2)  6 Se 3.05-3.06
Na: 0.0000 0.3371 0.0000 (multiplicity 4)  6 Se 3.04-3.07
Ho: 0.0000 0.1671 0.5000 (multiplicity 4)  6 Se 2.87-2.88
Sb: 0.0000 0.5000 0.5000 (multiplicity 2)  6 Se 2.89-2.90
Se: 0.2401 0.0000 0.7279 (multiplicity 4)  2 Ho 2.88, 1 Sb 2.89, 3 Na 3.04-3.05
Se: 0.2442 0.3322 0.7291 (multiplicity 8)  2 Ho 2.87-2.88, 1 Sb 2.90, 3 Na 3.06-3.07

- calculated total energy (eV/f.u.) = -54.35
- crystal system = monoclinic
- formation energy without anion corrections (eV/atom) = -1.35

=====

No. 6
Na2Pm2Ge3 | PBE | relaxed

Unit cell a=13.2648 b=4.5026 c=7.8767 alpha=90.00 beta=123.56 gamma=90.00
With the nearest neighbours (Å) after each atom.
Space group C2/m (No. 12)
One atom of each set of equivalent atoms:
Na: 0.1349 0.0000 0.2668 (multiplicity 4)  4 Ge 3.06-3.29
Pm: 0.1452 0.0000 0.7813 (multiplicity 4)  5 Ge 3.00-3.04
Ge: 0.0000 0.5000 0.5000 (multiplicity 2)  4 Pm 3.00, 2 Ge 3.19
Ge: 0.0815 0.5000 0.9645 (multiplicity 4)  1 Ge 2.51

- calculated total energy (eV/f.u.) = -28.08
- formation energy from the elements (eV per atom) = -0.299
- crystal system = monoclinic

=====

No. 7
Fe4TcW | PBE | relaxed

Unit cell a=6.6412 b=6.6412 c=6.6412 alpha=90.00 beta=90.00 gamma=90.00
With the nearest neighbours (Å) after each atom.
Space group F-43m (No. 216)
One atom of each set of equivalent atoms:
Fe: 0.1250 0.1250 0.1250 (multiplicity 16)  6 Fe 2.35
Tc: 0.2500 0.2500 0.7500 (multiplicity 4)  12 Fe 2.75, 4 W 2.88
W: 0.0000 0.0000 0.5000 (multiplicity 4)  12 Fe 2.75, 4 Tc 2.88

- calculated total energy (eV/f.u.) = -57.14
- formation energy from the elements (eV per atom) = 0.005
- crystal system = cubic

=====

No. 8
BaMnAs2Ru | PBE | relaxed

Unit cell a=4.0232 b=4.0232 c=13.3133 alpha=90.00 beta=90.00 gamma=90.00
With the nearest neighbours (Å) after each atom.
Space group I-4m2 (No. 119)
One atom of each set of equivalent atoms:
Ba: 0.0000 0.0000 0.0000 (multiplicity 2)  8 As 3.43
Mn: 0.0000 0.5000 0.7500 (multiplicity 2)  4 As 2.46
As: 0.0000 0.0000 0.3563 (multiplicity 4)  2 Mn 2.46, 2 Ru 2.46
Ru: 0.0000 0.5000 0.2500 (multiplicity 2)  4 As 2.46

- calculated total energy (eV/f.u.) = -32.79
- formation energy from the elements (eV per atom) = -0.625
- crystal system = tetragonal

=====

No. 9
LaHoAlAg | PBE | relaxed

Unit cell a=7.4754 b=7.4754 c=7.4754 alpha=90.00 beta=90.00 gamma=90.00
With the nearest neighbours (Å) after each atom.
Space group F-43m (No. 216)
One atom of each set of equivalent atoms:
La: 0.0000 0.0000 0.0000 (multiplicity 4)  4 Al 3.24, 4 Ag 3.24
Ho: 0.0000 0.0000 0.5000 (multiplicity 4)  4 Al 3.24, 4 Ag 3.24
Al: 0.2500 0.2500 0.7500 (multiplicity 4)  4 La 3.24, 4 Ho 3.24
Ag: 0.2500 0.2500 0.2500 (multiplicity 4)  4 La 3.24, 4 Ho 3.24

- calculated total energy (eV/f.u.) = -17.30
- energy relative to the lowest polymorph listed for this composition (meV per atom) = 48
- formation energy from the elements (eV per atom) = -0.300
- crystal system = cubic

=====

No. 10
LaGeIr2 | PBE | relaxed

Unit cell a=7.3370 b=7.3370 c=6.1866 alpha=90.00 beta=90.00 gamma=90.00
With the nearest neighbours (Å) after each atom.
Space group I-42d (No. 122)
One atom of each set of equivalent atoms:
La: 0.0000 0.0000 0.0000 (multiplicity 4)  8 Ir 3.05-3.25, 2 Ge 3.09
Ge: 0.0000 0.0000 0.5000 (multiplicity 4)  4 Ir 2.41
Ir: 0.1848 0.2500 0.6250 (multiplicity 8)  2 Ge 2.41

- calculated total energy (eV/f.u.) = -28.12
- formation energy from the elements (eV per atom) = -0.213
- crystal system = tetragonal

=====

No. 11
CuRhCS | PBE | relaxed

Unit cell a=5.7204 b=3.2129 c=5.8487 alpha=90.00 beta=99.85 gamma=90.00
With the nearest neighbours (Å) after each atom.
Space group Cm (No. 8)
One atom of each set of equivalent atoms:
Cu: 0.0000 0.0000 0.0000 (multiplicity 2)  1 C 1.92
Rh: 0.2566 0.0000 0.4235 (multiplicity 2)  3 C 2.00-2.03
C: 0.4026 0.5000 0.2989 (multiplicity 2)  1 Cu 1.92, 3 Rh 2.00-2.03
S: 0.1319 0.5000 0.7545 (multiplicity 2)  3 Cu 2.34-2.36

- calculated total energy (eV/f.u.) = -23.23
- energy relative to the lowest polymorph listed for this composition (meV per atom) = 53
- crystal system = monoclinic
- formation energy without anion corrections (eV/atom) = 0.39

=====

No. 12
Tb9Dy2Y3 | PBE | relaxed

Unit cell a=6.2479 b=8.7037 c=8.7775 alpha=80.02 beta=77.28 gamma=87.98
With the nearest neighbours (Å) after each atom.
Space group P-1 (No. 2)
One atom of each set of equivalent atoms:
Tb: 0.0000 0.0000 0.0000 (multiplicity 1)  4 Dy 3.50-3.60, 4 Tb 3.55-3.58, 2 Y 3.71
Tb: 0.0905 0.3114 0.1969 (multiplicity 2)  3 Y 3.39-3.57, 7 Tb 3.48-3.76, 1 Dy 3.68
Tb: 0.1968 0.6131 0.3993 (multiplicity 2)  4 Tb 3.19-3.57, 2 Y 3.43-3.48, 1 Dy 3.51
Tb: 0.3459 0.6671 0.9956 (multiplicity 2)  7 Tb 3.41-3.55, 2 Dy 3.48-3.56, 3 Y 3.56-3.80
Tb: 0.4947 0.2422 0.4166 (multiplicity 2)  3 Tb 3.19-3.49, 1 Dy 3.37, 1 Y 3.56
Dy: 0.4487 0.9670 0.1993 (multiplicity 2)  1 Dy 3.36, 8 Tb 3.37-3.68, 2 Y 3.44-3.49
Y: 0.0000 0.0000 0.5000 (multiplicity 1)  6 Tb 3.42-3.73, 2 Dy 3.44
Y: 0.2458 0.3762 0.7748 (multiplicity 2)  10 Tb 3.39-3.71, 1 Dy 3.49

- calculated total energy (eV/f.u.) = -68.64
- formation energy from the elements (eV per atom) = 0.116
- crystal system = triclinic

=====

- What is the calculated total energy in the third record?
  -18.21 eV/f.u.